Entry 1:
Material: Ba2ScCo
Method: DFT, GGA-PBE
State: relaxed

a = 7.942 Å, b = 7.942 Å, c = 7.942 Å
α = 90.00°, β = 90.00°, γ = 90.00°
Element x y z (fractional)
Ba 0.250 0.250 0.250
Ba 0.250 0.250 0.750
Ba 0.250 0.750 0.250
Ba 0.250 0.750 0.750
Ba 0.750 0.250 0.250
Ba 0.750 0.250 0.750
Ba 0.750 0.750 0.250
Ba 0.750 0.750 0.750
Sc 0.000 0.000 0.000
Sc 0.000 0.500 0.500
Sc 0.500 0.000 0.500
Sc 0.500 0.500 0.000
Co 0.000 0.000 0.500
Co 0.000 0.500 0.000
Co 0.500 0.000 0.000
Co 0.500 0.500 0.500

## Properties
E_tot: -3.5210 eV per atom
density: 5.02 g/cm3
M_tot: 0.00 μB/f.u.
formation energy from the elements: 0.800 eV/atom

Entry 2:
Material: La2HgOs
Method: DFT, GGA-PBE
State: relaxed

a = 8.080 Å, b = 8.080 Å, c = 7.108 Å
α = 90.00°, β = 90.00°, γ = 90.00°
Element x y z (fractional)
La 0.196 0.250 0.125
La 0.250 0.696 0.375
La 0.250 0.804 0.875
La 0.304 0.250 0.625
La 0.696 0.750 0.625
La 0.750 0.196 0.875
La 0.750 0.304 0.375
La 0.804 0.750 0.125
Hg 0.000 0.000 0.500
Hg 0.000 0.500 0.750
Hg 0.500 0.000 0.250
Hg 0.500 0.500 0.000
Os 0.000 0.000 0.000
Os 0.000 0.500 0.250
Os 0.500 0.000 0.750
Os 0.500 0.500 0.500

## Properties
E_tot: -5.3012 eV per atom
density: 9.57 g/cm3
M_tot: 0.00 μB/f.u.
formation energy from the elements: 0.045 eV/atom

Entry 3:
Material: RbZrTa3
Method: DFT, GGA-PBE
State: relaxed

a = 4.824 Å, b = 4.824 Å, c = 4.824 Å
α = 90.00°, β = 90.00°, γ = 90.00°
Element x y z (fractional)
Rb 0.000 0.000 0.000
Zr 0.500 0.500 0.500
Ta 0.000 0.000 0.500
Ta 0.000 0.500 0.000
Ta 0.500 0.000 0.000

## Properties
E_tot: -6.2354 eV per atom
density: 10.64 g/cm3
M_tot: 0.00 μB/f.u.
formation energy from the elements: 2.779 eV/atom

Entry 4:
Material: TcRhC3
Method: DFT, GGA-PBE
State: relaxed

a = 3.902 Å, b = 3.902 Å, c = 3.902 Å
α = 90.00°, β = 90.00°, γ = 90.00°
Element x y z (fractional)
Tc 0.000 0.000 0.000
Rh 0.500 0.500 0.500
C 0.000 0.500 0.500
C 0.500 0.000 0.500
C 0.500 0.500 0.000

## Properties
E_tot: -6.5043 eV per atom
density: 6.62 g/cm3
M_tot: 0.00 μB/f.u.
formation energy from the elements: 2.573 eV/atom